{
  "formula": "BiPt2I",
  "functional": "PBE",
  "state": "relaxed",
  "cell": [[0.0000, 3.5204, 3.5204], [3.5204, 0.0000, 3.5204], [3.5204, 3.5204, 0.0000]],
  "species": ["Bi", "Pt", "Pt", "I"],
  "frac_coords": [[0.0000, 0.0000, 0.0000], [0.2500, 0.2500, 0.2500], [0.7500, 0.7500, 0.7500], [0.5000, 0.5000, 0.5000]],
  "e_tot_ev_per_atom": -4.028,
  "magmom_total_mub_per_atom": 0.000,
  "space_group": "No. 225"
}

{
  "formula": "Ni2Pd7Pt2",
  "functional": "PBE",
  "state": "relaxed",
  "cell": [[3.4601, -3.7412, 0.0000], [3.4601, 3.7412, 0.0000], [-1.4229, 0.0000, 6.4321]],
  "species": ["Ni", "Ni", "Pd", "Pd", "Pd", "Pd", "Pd", "Pd", "Pd", "Pt", "Pt"],
  "frac_coords": [[0.1047, 0.1047, 0.3488], [0.8953, 0.8953, 0.6512], [0.0241, 0.4012, 0.6844], [0.3470, 0.3470, 0.0878], [0.4012, 0.0241, 0.6844], [0.5000, 0.5000, 0.5000], [0.5988, 0.9759, 0.3156], [0.6530, 0.6530, 0.9122], [0.9759, 0.5988, 0.3156], [0.1824, 0.8176, 0.0000], [0.8176, 0.1824, 0.0000]],
  "magmom_total_mub_per_atom": 0.416,
  "space_group": "No. 12",
  "formation_enthalpy_0k_ev_per_atom": 0.07
}

{
  "formula": "BePSe",
  "functional": "PBE",
  "state": "relaxed",
  "cell": [[3.4961, 0.0000, 0.0000], [-1.7480, 3.0277, 0.0000], [0.0000, 0.0000, 4.3365]],
  "species": ["Be", "P", "Se"],
  "frac_coords": [[0.0000, 0.0000, 0.0000], [0.6667, 0.3333, 0.2425], [0.3333, 0.6667, 0.6899]],
  "e_tot_ev_per_atom": -4.024,
  "magmom_total_mub_per_atom": 0.000,
  "space_group": "No. 156"
}

{
  "formula": "PuPa2Pd7",
  "functional": "PBE",
  "state": "relaxed",
  "cell": [[3.5703, -7.4502, 0.0000], [3.5703, 7.4502, 0.0000], [0.0000, 0.0000, 4.3534]],
  "species": ["Pu", "Pa", "Pa", "Pd", "Pd", "Pd", "Pd", "Pd", "Pd", "Pd"],
  "frac_coords": [[0.0000, 0.0000, 0.0000], [0.3083, 0.6917, 0.5000], [0.6917, 0.3083, 0.5000], [0.0815, 0.2946, 0.5000], [0.1983, 0.8017, 0.0000], [0.2946, 0.0815, 0.5000], [0.5000, 0.5000, 0.5000], [0.7054, 0.9185, 0.5000], [0.8017, 0.1983, 0.0000], [0.9185, 0.7054, 0.5000]],
  "magmom_total_mub_per_atom": 0.593,
  "space_group": "No. 65",
  "formation_enthalpy_0k_ev_per_atom": -0.15
}

{
  "formula": "LaGa2Cu",
  "functional": "PBE",
  "state": "relaxed",
  "cell": [[2.1108, 1.2186, 5.4861], [-2.1108, 1.2186, 5.4861], [0.0000, -2.4373, 5.4861]],
  "species": ["La", "Ga", "Ga", "Cu"],
  "frac_coords": [[0.0000, 0.0000, 0.0000], [0.2105, 0.2105, 0.2105], [0.7895, 0.7895, 0.7895], [0.5000, 0.5000, 0.5000]],
  "magmom_total_mub_per_atom": 0.000,
  "space_group": "No. 166",
  "formation_enthalpy_0k_ev_per_atom": -0.49
}

{
  "formula": "AlTl3Te3",
  "functional": "PBE",
  "state": "relaxed",
  "cell": [[9.8735, 0.0000, 0.0000], [0.0000, 7.6472, 0.0000], [-2.6559, 0.0000, 13.3029]],
  "species": ["Al", "Al", "Al", "Al", "Tl", "Tl", "Tl", "Tl", "Tl", "Tl", "Tl", "Tl", "Tl", "Tl", "Tl", "Tl", "Te", "Te", "Te", "Te", "Te", "Te", "Te", "Te", "Te", "Te", "Te", "Te"],
  "frac_coords": [[0.1710, 0.0730, 0.0353], [0.1710, 0.4270, 0.5353], [0.8290, 0.5730, 0.4647], [0.8290, 0.9270, 0.9647], [0.0912, 0.6345, 0.1203], [0.0912, 0.8655, 0.6203], [0.2957, 0.2064, 0.7692], [0.2957, 0.2936, 0.2692], [0.4217, 0.7322, 0.4217], [0.4217, 0.7678, 0.9217], [0.5783, 0.2322, 0.0783], [0.5783, 0.2678, 0.5783], [0.7043, 0.7064, 0.7308], [0.7043, 0.7936, 0.2308], [0.9088, 0.1345, 0.3797], [0.9088, 0.3655, 0.8797], [0.0505, 0.6290, 0.3821], [0.0505, 0.8710, 0.8821], [0.2660, 0.1267, 0.4819], [0.2660, 0.3733, 0.9819], [0.3694, 0.5855, 0.6633], [0.3694, 0.9145, 0.1633], [0.6306, 0.0855, 0.8367], [0.6306, 0.4145, 0.3367], [0.7340, 0.6267, 0.0181], [0.7340, 0.8733, 0.5181], [0.9495, 0.1290, 0.1179], [0.9495, 0.3710, 0.6179]],
  "e_tot_ev_per_atom": -3.283,
  "magmom_total_mub_per_atom": 0.000,
  "space_group": "No. 14"
}

{
  "formula": "SrCaPrNd",
  "functional": "PBE",
  "state": "relaxed",
  "cell": [[0.0000, 4.3168, 4.3168], [4.3168, 0.0000, 4.3168], [4.3168, 4.3168, 0.0000]],
  "species": ["Sr", "Ca", "Pr", "Nd"],
  "frac_coords": [[0.0000, 0.0000, 0.0000], [0.7500, 0.7500, 0.7500], [0.5000, 0.5000, 0.5000], [0.2500, 0.2500, 0.2500]],
  "magmom_total_mub_per_atom": 0.000,
  "space_group": "No. 216",
  "formation_enthalpy_0k_ev_per_atom": 0.15
}

{
  "formula": "CaLaAl",
  "functional": "PBE",
  "state": "relaxed",
  "cell": [[-1.8298, 1.8298, 7.0877], [1.8298, -1.8298, 7.0877], [1.8298, 1.8298, -7.0877]],
  "species": ["Ca", "La", "Al"],
  "frac_coords": [[0.0000, 0.0000, 0.0000], [0.7273, 0.7273, 0.0000], [0.3608, 0.3608, 0.0000]],
  "magmom_total_mub_per_atom": 0.000,
  "space_group": "No. 107",
  "formation_enthalpy_0k_ev_per_atom": -0.18
}